Below is a geometry-optimized Gd4CdPt structure, with properties calculated at the PBE level.

abc: 9.7635 9.7635 9.7635
angles: 60.00 60.00 60.00
Element x y z (fractional)
Gd  0.0589  0.0589  0.4411
Gd  0.0589  0.4411  0.0589
Gd  0.0589  0.4411  0.4411
Gd  0.1852  0.1852  0.8148
Gd  0.1852  0.8148  0.1852
Gd  0.1852  0.8148  0.8148
Gd  0.1956  0.6015  0.6015
Gd  0.4411  0.0589  0.0589
Gd  0.4411  0.0589  0.4411
Gd  0.4411  0.4411  0.0589
Gd  0.6015  0.1956  0.6015
Gd  0.6015  0.6015  0.1956
Gd  0.6015  0.6015  0.6015
Gd  0.8148  0.1852  0.1852
Gd  0.8148  0.1852  0.8148
Gd  0.8148  0.8148  0.1852
Cd  0.5059  0.8314  0.8314
Cd  0.8314  0.5059  0.8314
Cd  0.8314  0.8314  0.5059
Cd  0.8314  0.8314  0.8314
Pt  0.3931  0.3931  0.3931
Pt  0.3931  0.3931  0.8208
Pt  0.3931  0.8208  0.3931
Pt  0.8208  0.3931  0.3931

## Properties
- E_form: -601 meV per atom
- Space group: F-43m (216)

Below is a geometry-optimized GdPuCd structure, with properties calculated at the PBE level.

abc: 4.9417 4.9417 4.9417
angles: 60.00 60.00 60.00
Element x y z (fractional)
Gd  0.0000  0.0000  0.0000
Pu  0.7500  0.7500  0.7500
Cd  0.5000  0.5000  0.5000

## Properties
- E_form: 540 meV per atom
- Space group: F-43m (216)

Below is a geometry-optimized RbGdCdTe3 structure, with properties calculated at the PBE level.

abc: 16.5417 4.5465 12.0732
angles: 90.00 90.00 90.00
Element x y z (fractional)
Rb  0.2352  0.2500  0.0441
Rb  0.2648  0.7500  0.5441
Rb  0.7352  0.2500  0.4559
Rb  0.7648  0.7500  0.9559
Gd  0.0242  0.2500  0.3496
Gd  0.4758  0.7500  0.8496
Gd  0.5242  0.2500  0.1504
Gd  0.9758  0.7500  0.6504
Cd  0.0175  0.7500  0.1008
Cd  0.4825  0.2500  0.6008
Cd  0.5175  0.7500  0.3992
Cd  0.9825  0.2500  0.8992
Te  0.0895  0.7500  0.8755
Te  0.0944  0.2500  0.5824
Te  0.1408  0.7500  0.2617
Te  0.3592  0.2500  0.7617
Te  0.4056  0.7500  0.0824
Te  0.4105  0.2500  0.3755
Te  0.5895  0.7500  0.6245
Te  0.5944  0.2500  0.9176
Te  0.6408  0.7500  0.2383
Te  0.8592  0.2500  0.7383
Te  0.9056  0.7500  0.4176
Te  0.9105  0.2500  0.1245

## Properties
- Distance to the lowest polymorph of the same formula: 0.07 eV/f.u.
- Space group: Pnma (62)

Below is a geometry-optimized RbGdCdTe3 structure, with properties calculated at the PBE level.

abc: 12.8626 4.6486 14.3138
angles: 90.00 90.00 90.00
Element x y z (fractional)
Rb  0.1765  0.2500  0.0120
Rb  0.3235  0.7500  0.5120
Rb  0.6765  0.2500  0.4880
Rb  0.8235  0.7500  0.9880
Gd  0.0276  0.2500  0.3191
Gd  0.4724  0.7500  0.8191
Gd  0.5276  0.2500  0.1809
Gd  0.9724  0.7500  0.6809
Cd  0.2466  0.2500  0.7107
Cd  0.2534  0.7500  0.2107
Cd  0.7466  0.2500  0.7893
Cd  0.7534  0.7500  0.2893
Te  0.0365  0.7500  0.1688
Te  0.0887  0.2500  0.5713
Te  0.2320  0.7500  0.8269
Te  0.2680  0.2500  0.3269
Te  0.4113  0.7500  0.0713
Te  0.4635  0.2500  0.6688
Te  0.5365  0.7500  0.3312
Te  0.5887  0.2500  0.9287
Te  0.7320  0.7500  0.6731
Te  0.7680  0.2500  0.1731
Te  0.9113  0.7500  0.4287
Te  0.9635  0.2500  0.8312

## Properties
- Distance to the lowest polymorph of the same formula: 0.47 eV/f.u.
- Space group: Pnma (62)

What did the third record say?
Below is a geometry-optimized RbGdCdTe3 structure, with properties calculated at the PBE level.

abc: 16.5417 4.5465 12.0732
angles: 90.00 90.00 90.00
Element x y z (fractional)
Rb  0.2352  0.2500  0.0441
Rb  0.2648  0.7500  0.5441
Rb  0.7352  0.2500  0.4559
Rb  0.7648  0.7500  0.9559
Gd  0.0242  0.2500  0.3496
Gd  0.4758  0.7500  0.8496
Gd  0.5242  0.2500  0.1504
Gd  0.9758  0.7500  0.6504
Cd  0.0175  0.7500  0.1008
Cd  0.4825  0.2500  0.6008
Cd  0.5175  0.7500  0.3992
Cd  0.9825  0.2500  0.8992
Te  0.0895  0.7500  0.8755
Te  0.0944  0.2500  0.5824
Te  0.1408  0.7500  0.2617
Te  0.3592  0.2500  0.7617
Te  0.4056  0.7500  0.0824
Te  0.4105  0.2500  0.3755
Te  0.5895  0.7500  0.6245
Te  0.5944  0.2500  0.9176
Te  0.6408  0.7500  0.2383
Te  0.8592  0.2500  0.7383
Te  0.9056  0.7500  0.4176
Te  0.9105  0.2500  0.1245

## Properties
- Distance to the lowest polymorph of the same formula: 0.07 eV/f.u.
- Space group: Pnma (62)